# 1
Material: LiPmSi2Au4
Method: DFT, GGA-PBE
State: optimized geometry

abc: 4.431 4.431 8.950
angles: 75.67 75.67 60.00
Atoms (fractional coordinates):
Li  0.500  0.500  0.500
Pm  0.000  0.000  0.000
Si  0.757  0.757  0.729
Si  0.243  0.243  0.271
Au  0.400  0.400  0.800
Au  0.862  0.862  0.414
Au  0.138  0.138  0.586
Au  0.600  0.600  0.200

Symmetry   No. 166
Crystal system   trigonal
Formation energy from raw total energies   -421 meV/atom
Spin magnetization   0.00 μB/f.u.
Uncorrected energy   -4.25 eV per atom

# 2
Material: YRhBr2
Method: DFT, GGA-PBE
State: optimized geometry

abc: 5.793 5.793 5.536
angles: 83.96 83.96 37.17
Atoms (fractional coordinates):
Y  0.775  0.775  0.829
Rh  0.405  0.405  0.584
Br  0.051  0.051  0.827
Br  0.269  0.269  0.260

Symmetry   No. 8
Relative energy among the computed polymorphs   16.9 kJ per mole of atoms
Crystal system   monoclinic
Formation energy from raw total energies   -850 meV/atom
Spin magnetization   0.00 μB/f.u.
Uncorrected energy   -5.14 eV per atom

# 3
Material: Sr2Si4Ir3
Method: DFT, GGA-PBE
State: optimized geometry

abc: 5.794 5.794 6.646
angles: 102.23 102.23 120.94
Atoms (fractional coordinates):
Sr  0.636  0.636  0.271
Sr  0.364  0.364  0.729
Si  0.032  0.666  0.698
Si  0.666  0.032  0.698
Si  0.968  0.334  0.302
Si  0.334  0.968  0.302
Ir  0.500  0.000  0.000
Ir  0.000  0.000  0.000
Ir  0.000  0.500  0.000

Symmetry   No. 69
Crystal system   orthorhombic
Formation energy from raw total energies   -506 meV/atom
Spin magnetization   0.00 μB/f.u.
Uncorrected energy   -6.24 eV per atom

# 4
Material: TmMgC
Method: DFT, GGA-PBE
State: optimized geometry

abc: 3.425 3.425 11.681
angles: 90.00 90.00 120.00
Atoms (fractional coordinates):
Tm  0.667  0.333  0.652
Tm  0.333  0.667  0.348
C  0.667  0.333  0.245
C  0.333  0.667  0.755
Mg  0.667  0.333  0.881
Mg  0.333  0.667  0.119

Symmetry   No. 164
Crystal system   trigonal
Spin magnetization   0.00 μB/f.u.
Uncorrected energy   -4.75 eV per atom
ΔH_f (0 K)   342 meV per atom

# 5
Material: Pr6Zn5Os
Method: DFT, GGA-PBE
State: optimized geometry

abc: 5.215 7.400 9.019
angles: 65.77 73.21 90.00
Atoms (fractional coordinates):
Pr  0.842  0.600  0.318
Pr  0.841  0.082  0.318
Pr  0.500  0.763  0.000
Pr  0.500  0.237  0.000
Pr  0.159  0.918  0.682
Pr  0.158  0.400  0.682
Zn  0.678  0.179  0.643
Zn  0.332  0.332  0.337
Zn  0.000  0.500  0.000
Zn  0.668  0.668  0.663
Zn  0.322  0.821  0.357
Os  0.000  0.000  0.000

Symmetry   No. 71
Crystal system   orthorhombic
Spin magnetization   0.00 μB/f.u.
Uncorrected energy   -4.10 eV per atom
ΔH_f (0 K)   -247 meV per atom

# 6
Material: Zr4Tc3Pd
Method: DFT, GGA-PBE
State: optimized geometry

abc: 4.677 6.598 9.355
angles: 90.00 90.00 90.00
Atoms (fractional coordinates):
Pd  0.000  0.500  0.000
Pd  0.000  0.500  0.500
Tc  0.000  0.000  0.000
Tc  0.000  0.000  0.500
Tc  0.500  0.000  0.750
Tc  0.500  0.000  0.250
Tc  0.500  0.500  0.750
Tc  0.500  0.500  0.250
Zr  0.500  0.756  0.000
Zr  0.500  0.756  0.500
Zr  0.500  0.244  0.000
Zr  0.500  0.244  0.500
Zr  0.000  0.756  0.750
Zr  0.000  0.756  0.250
Zr  0.000  0.244  0.250
Zr  0.000  0.244  0.750

Symmetry   No. 123
Crystal system   tetragonal
Spin magnetization   0.00 μB/f.u.
Uncorrected energy   -9.30 eV per atom
ΔH_f (0 K)   -486 meV per atom

# 7
Material: LiPt2Au2
Method: DFT, GGA-PBE
State: optimized geometry

abc: 7.773 7.773 3.011
angles: 90.00 90.00 90.00
Atoms (fractional coordinates):
Au  0.176  0.676  0.500
Au  0.676  0.824  0.500
Au  0.824  0.324  0.500
Au  0.324  0.176  0.500
Pt  0.376  0.876  0.000
Pt  0.876  0.624  0.000
Pt  0.624  0.124  0.000
Pt  0.124  0.376  0.000
Li  0.000  0.000  0.000
Li  0.500  0.500  0.000

Symmetry   No. 127
Relative energy among the computed polymorphs   0.0 kJ per mole of atoms
Crystal system   tetragonal
Spin magnetization   0.00 μB/f.u.
Uncorrected energy   -4.18 eV per atom
ΔH_f (0 K)   -71 meV per atom

# 8
Material: PrEuLuAl
Method: DFT, GGA-PBE
State: optimized geometry

abc: 5.450 5.450 5.450
angles: 60.00 60.00 60.00
Each line ends with the local moment (μB).
Atoms (fractional coordinates):
Eu  0.750  0.750  0.750  6.89
Pr  0.000  0.000  0.000  0.11
Lu  0.500  0.500  0.500  0.12
Al  0.250  0.250  0.250  -0.02

Symmetry   No. 216
Crystal system   cubic
Spin magnetization   7.47 μB/f.u.
Uncorrected energy   -5.84 eV per atom
ΔH_f (0 K)   -13 meV per atom